The following is a PBE-GGA calculation of a relaxed Mn3AgS crystal, from the Alexandria database.

```
5
Lattice="4.8791 0.0000 0.0000 0.0000 4.8791 0.0000 0.0000 0.0000 4.8791" Properties=species:S:1:pos:R:3 pbc="T T T"
S 2.4396 2.4396 2.4396
Mn 0.0000 2.4396 0.0000
Mn 0.0000 0.0000 2.4396
Mn 2.4396 0.0000 0.0000
Ag 0.0000 0.0000 0.0000
```

Values from the calculation:
Uncorrected formation energy ... 1130 meV/atom
Space group ... Pm-3m (221)
Excess energy over the best structure of this formula in the dataset ... 0.945 eV/atom